Entry 1:
{"formula": "Sn2BiH", "functional": "GGA-PBE", "state": "optimized geometry", "lattice": [[0.000, 3.680, 3.680], [3.680, 0.000, 3.680], [3.680, 3.680, 0.000]], "species": ["Sn", "Sn", "Bi", "H"], "frac_coords": [[0.250, 0.250, 0.250], [0.750, 0.750, 0.750], [0.000, 0.000, 0.000], [0.500, 0.500, 0.500]], "polymorph_energy_ev_per_atom": 0.167}

***

Entry 2:
{"formula": "RbNa5S3", "functional": "GGA-PBE", "state": "optimized geometry", "lattice": [[2.281, -7.612, 0.000], [2.281, 7.612, 0.000], [0.000, 0.000, 13.042]], "species": ["Rb", "Rb", "Na", "Na", "Na", "Na", "Na", "Na", "Na", "Na", "Na", "Na", "S", "S", "S", "S", "S", "S"], "frac_coords": [[0.150, 0.850, 0.750], [0.850, 0.150, 0.250], [0.000, 0.000, 0.000], [0.000, 0.000, 0.500], [0.195, 0.805, 0.068], [0.195, 0.805, 0.432], [0.456, 0.544, 0.640], [0.456, 0.544, 0.860], [0.544, 0.456, 0.140], [0.544, 0.456, 0.360], [0.805, 0.195, 0.568], [0.805, 0.195, 0.932], [0.086, 0.914, 0.250], [0.375, 0.625, 0.048], [0.375, 0.625, 0.452], [0.625, 0.375, 0.548], [0.625, 0.375, 0.952], [0.914, 0.086, 0.750]], "formation_energy_uncorrected_ev_per_atom": -1.02}

***

Entry 3:
{"formula": "HoAgRhAu", "functional": "GGA-PBE", "state": "optimized geometry", "lattice": [[0.000, 3.361, 3.361], [3.361, 0.000, 3.361], [3.361, 3.361, 0.000]], "species": ["Ho", "Ag", "Rh", "Au"], "frac_coords": [[0.000, 0.000, 0.000], [0.500, 0.500, 0.500], [0.250, 0.250, 0.250], [0.750, 0.750, 0.750]], "polymorph_energy_ev_per_atom": 0.133, "ef_mev_per_atom": -445.2}

***

Entry 4:
{"formula": "Ca2AlHgF", "functional": "GGA-PBE", "state": "optimized geometry", "lattice": [[5.899, 0.000, 0.000], [0.000, 5.899, 0.000], [0.000, 0.000, 4.897]], "species": ["Ca", "Ca", "Al", "Hg", "F"], "frac_coords": [[0.000, 0.500, 0.000], [0.500, 0.000, 0.000], [0.000, 0.000, 0.000], [0.000, 0.000, 0.500], [0.500, 0.500, 0.500]], "formation_energy_uncorrected_ev_per_atom": -0.51}

***

Entry 5:
{"formula": "Eu2AgSb", "functional": "GGA-PBE", "state": "optimized geometry", "lattice": [[0.000, 3.873, 3.873], [3.873, 0.000, 3.873], [3.873, 3.873, 0.000]], "species": ["Eu", "Eu", "Ag", "Sb"], "frac_coords": [[0.250, 0.250, 0.250], [0.750, 0.750, 0.750], [0.000, 0.000, 0.000], [0.500, 0.500, 0.500]], "formation_energy_uncorrected_ev_per_atom": -0.72}

***

Entry 6:
{"formula": "KReTc2", "functional": "GGA-PBE", "state": "optimized geometry", "lattice": [[4.637, -1.388, 0.000], [4.637, 1.388, 0.000], [-0.739, 0.000, 6.919]], "species": ["K", "Re", "Tc", "Tc"], "frac_coords": [[0.000, 0.000, 0.000], [0.222, 0.222, 0.641], [0.499, 0.499, 0.503], [0.780, 0.780, 0.359]], "polymorph_energy_ev_per_atom": 0.280, "ef_mev_per_atom": 991.2}

***

Entry 7:
{"formula": "CuPHCl2", "functional": "GGA-PBE", "state": "optimized geometry", "lattice": [[4.896, 0.000, 0.000], [0.000, 4.896, 0.000], [0.000, 0.000, 3.226]], "species": ["Cu", "P", "H", "Cl", "Cl"], "frac_coords": [[0.000, 0.000, 0.000], [0.500, 0.500, 0.000], [0.500, 0.500, 0.500], [0.000, 0.500, 0.500], [0.500, 0.000, 0.500]], "polymorph_energy_ev_per_atom": 0.000}

***

Entry 8:
{"formula": "HfThTcNi", "functional": "GGA-PBE", "state": "optimized geometry", "lattice": [[0.000, 3.385, 3.385], [3.385, 0.000, 3.385], [3.385, 3.385, 0.000]], "species": ["Hf", "Th", "Tc", "Ni"], "frac_coords": [[0.000, 0.000, 0.000], [0.500, 0.500, 0.500], [0.250, 0.250, 0.250], [0.750, 0.750, 0.750]], "ef_mev_per_atom": -237.0}

***

Entry 9:
{"formula": "CePrErTl", "functional": "GGA-PBE", "state": "optimized geometry", "lattice": [[0.000, 3.874, 3.874], [3.874, 0.000, 3.874], [3.874, 3.874, 0.000]], "species": ["Ce", "Pr", "Er", "Tl"], "frac_coords": [[0.000, 0.000, 0.000], [0.250, 0.250, 0.250], [0.750, 0.750, 0.750], [0.500, 0.500, 0.500]], "ef_mev_per_atom": 18.6}

***

Entry 10:
{"formula": "In2CoPbI", "functional": "GGA-PBE", "state": "optimized geometry", "lattice": [[5.157, 0.000, 0.000], [0.000, 5.157, 0.000], [0.000, 0.000, 5.082]], "species": ["In", "In", "Co", "Pb", "I"], "frac_coords": [[0.000, 0.500, 0.000], [0.500, 0.000, 0.000], [0.000, 0.000, 0.000], [0.000, 0.000, 0.500], [0.500, 0.500, 0.500]], "formation_energy_uncorrected_ev_per_atom": -0.11}

***

Entry 11:
{"formula": "SnPdSe2", "functional": "GGA-PBE", "state": "optimized geometry", "lattice": [[-3.002, 3.002, 6.148], [3.002, -3.002, 6.148], [3.002, 3.002, -6.148]], "species": ["Sn", "Sn", "Pd", "Pd", "Se", "Se", "Se", "Se"], "frac_coords": [[0.000, 0.000, 0.000], [0.750, 0.250, 0.500], [0.250, 0.750, 0.500], [0.500, 0.500, 0.000], [0.157, 0.625, 0.032], [0.375, 0.407, 0.532], [0.593, 0.125, 0.968], [0.875, 0.843, 0.468]], "formation_energy_uncorrected_ev_per_atom": -0.21}

***

Entry 12:
{"formula": "Li3HoAl3", "functional": "GGA-PBE", "state": "optimized geometry", "lattice": [[6.696, 0.000, 0.000], [0.000, 6.696, 0.000], [0.000, 0.000, 6.696]], "species": ["Li", "Li", "Li", "Li", "Li", "Li", "Ho", "Ho", "Al", "Al", "Al", "Al", "Al", "Al"], "frac_coords": [[0.000, 0.250, 0.500], [0.000, 0.750, 0.500], [0.250, 0.500, 0.000], [0.500, 0.000, 0.250], [0.500, 0.000, 0.750], [0.750, 0.500, 0.000], [0.000, 0.000, 0.000], [0.500, 0.500, 0.500], [0.000, 0.500, 0.250], [0.000, 0.500, 0.750], [0.250, 0.000, 0.500], [0.500, 0.250, 0.000], [0.500, 0.750, 0.000], [0.750, 0.000, 0.500]], "ef_mev_per_atom": 474.3}